Entry 1:
## Zr2SnPb (SCAN)

Data for a PBEsol-optimized structure of Zr2SnPb.

Results
* SG: Fm-3m (225)

Lattice parameters (Å, degrees): 7.093 7.093 7.093 90.00 90.00 90.00
Fractional positions:
Zr1 0.250 0.250 0.250
Zr2 0.250 0.250 0.750
Zr3 0.250 0.750 0.250
Zr4 0.250 0.750 0.750
Zr5 0.750 0.250 0.250
Zr6 0.750 0.250 0.750
Zr7 0.750 0.750 0.250
Zr8 0.750 0.750 0.750
Sn1 0.000 0.000 0.000
Sn2 0.000 0.500 0.500
Sn3 0.500 0.000 0.500
Sn4 0.500 0.500 0.000
Pb1 0.000 0.000 0.500
Pb2 0.000 0.500 0.000
Pb3 0.500 0.000 0.000
Pb4 0.500 0.500 0.500

=====

Entry 2:
## ZrSn3Pb (SCAN)

Data for a PBEsol-optimized structure of ZrSn3Pb.

Results
* SG: Pm-3m (221)

Lattice parameters (Å, degrees): 5.537 5.537 5.537 90.00 90.00 90.00
Fractional positions:
Zr1 0.000 0.000 0.000
Sn1 0.000 0.500 0.500
Sn2 0.500 0.000 0.500
Sn3 0.500 0.500 0.000
Pb1 0.500 0.500 0.500

=====

Entry 3:
## ZrSnPb3 (SCAN)

Data for a PBEsol-optimized structure of ZrSnPb3.

Results
* SG: Pm-3m (221)

Lattice parameters (Å, degrees): 5.564 5.564 5.564 90.00 90.00 90.00
Fractional positions:
Zr1 0.000 0.000 0.000
Sn1 0.500 0.500 0.500
Pb1 0.000 0.000 0.500
Pb2 0.000 0.500 0.000
Pb3 0.500 0.000 0.000

=====

Entry 4:
## Sr3Pb (SCAN)

Data for a PBEsol-optimized structure of Sr3Pb.

Results
* SG: R-3m (166)

Lattice parameters (Å, degrees): 4.102 4.102 36.101 90.00 90.00 120.00
Fractional positions:
Sr1 0.000 0.000 0.000
Sr2 0.000 0.000 0.234
Sr3 0.000 0.000 0.766
Sr4 0.333 0.667 0.432
Sr5 0.333 0.667 0.667
Sr6 0.333 0.667 0.901
Sr7 0.667 0.333 0.099
Sr8 0.667 0.333 0.333
Sr9 0.667 0.333 0.568
Pb1 0.000 0.000 0.500
Pb2 0.333 0.667 0.167
Pb3 0.667 0.333 0.833

=====

Entry 5:
## SrPb8 (SCAN)

Data for a PBEsol-optimized structure of SrPb8.

Results
* SG: I4/mmm (139)

Lattice parameters (Å, degrees): 7.876 7.876 7.876 95.47 95.47 144.03
Fractional positions:
Sr1 0.000 0.000 0.000
Pb1 0.000 0.339 0.339
Pb2 0.000 0.661 0.661
Pb3 0.325 0.325 0.651
Pb4 0.325 0.675 0.000
Pb5 0.339 0.000 0.339
Pb6 0.661 0.000 0.661
Pb7 0.675 0.325 0.000
Pb8 0.675 0.675 0.349

=====

Entry 6:
## Sr5Pb24 (SCAN)

Data for a PBEsol-optimized structure of Sr5Pb24.

Results
* SG: I-43m (217)

Lattice parameters (Å, degrees): 10.555 10.555 10.555 109.47 109.47 109.47
Fractional positions:
Sr1 0.000 0.000 0.000
Sr2 0.000 0.000 0.380
Sr3 0.000 0.380 0.000
Sr4 0.380 0.000 0.000
Sr5 0.620 0.620 0.620
Pb1 0.000 0.326 0.607
Pb2 0.000 0.607 0.326
Pb3 0.000 0.625 0.809
Pb4 0.000 0.809 0.625
Pb5 0.184 0.375 0.375
Pb6 0.191 0.191 0.816
Pb7 0.191 0.816 0.191
Pb8 0.281 0.674 0.674
Pb9 0.326 0.000 0.607
Pb10 0.326 0.607 0.000
Pb11 0.375 0.184 0.375
Pb12 0.375 0.375 0.184
Pb13 0.393 0.393 0.719
Pb14 0.393 0.719 0.393
Pb15 0.607 0.000 0.326
Pb16 0.607 0.326 0.000
Pb17 0.625 0.000 0.809
Pb18 0.625 0.809 0.000
Pb19 0.674 0.281 0.674
Pb20 0.674 0.674 0.281
Pb21 0.719 0.393 0.393
Pb22 0.809 0.000 0.625
Pb23 0.809 0.625 0.000
Pb24 0.816 0.191 0.191

=====

Entry 7:
## Sr5Pb3 (SCAN)

Data for a PBEsol-optimized structure of Sr5Pb3.

Results
* SG: P6_3/mcm (193)

Lattice parameters (Å, degrees): 9.886 9.886 7.188 90.00 90.00 120.00
Fractional positions:
Sr1 0.000 0.269 0.250
Sr2 0.000 0.731 0.750
Sr3 0.269 0.000 0.250
Sr4 0.269 0.269 0.750
Sr5 0.333 0.667 0.000
Sr6 0.333 0.667 0.500
Sr7 0.667 0.333 0.000
Sr8 0.667 0.333 0.500
Sr9 0.731 0.000 0.750
Sr10 0.731 0.731 0.250
Pb1 0.000 0.388 0.750
Pb2 0.000 0.612 0.250
Pb3 0.388 0.000 0.750
Pb4 0.388 0.388 0.250
Pb5 0.612 0.000 0.250
Pb6 0.612 0.612 0.750

=====

Entry 8:
## Sr3Pb (SCAN)

Data for a PBEsol-optimized structure of Sr3Pb.

Results
* SG: Pm-3m (221)

Lattice parameters (Å, degrees): 5.314 5.314 5.314 90.00 90.00 90.00
Fractional positions:
Sr1 0.000 0.000 0.500
Sr2 0.000 0.500 0.000
Sr3 0.500 0.000 0.000
Pb1 0.500 0.500 0.500

=====

Entry 9:
## SrPb2 (SCAN)

Data for a PBEsol-optimized structure of SrPb2.

Results
* SG: Imma (74)

Lattice parameters (Å, degrees): 5.220 7.718 9.800 90.00 90.00 90.00
Fractional positions:
Sr1 0.000 0.250 0.050
Sr2 0.000 0.750 0.950
Sr3 0.500 0.250 0.450
Sr4 0.500 0.750 0.550
Pb1 0.000 0.043 0.660
Pb2 0.000 0.457 0.660
Pb3 0.000 0.543 0.340
Pb4 0.000 0.957 0.340
Pb5 0.500 0.043 0.840
Pb6 0.500 0.457 0.840
Pb7 0.500 0.543 0.160
Pb8 0.500 0.957 0.160

=====

Entry 10:
## Sr2TaPb (SCAN)

Data for a PBEsol-optimized structure of Sr2TaPb.

Results
* SG: Amm2 (38)

Lattice parameters (Å, degrees): 5.099 3.548 13.217 90.00 90.00 90.00
Fractional positions:
Sr1 0.000 0.000 0.000
Sr2 0.000 0.500 0.500
Sr3 0.500 0.000 0.324
Sr4 0.500 0.500 0.824
Ta1 0.000 0.000 0.718
Ta2 0.000 0.500 0.218
Pb1 0.500 0.000 0.606
Pb2 0.500 0.500 0.106

=====

Entry 11:
## Sr2TaPb (SCAN)

Data for a PBEsol-optimized structure of Sr2TaPb.

Results
* SG: I-4m2 (119)

Lattice parameters (Å, degrees): 4.832 4.832 9.691 90.00 90.00 90.00
Fractional positions:
Sr1 0.000 0.000 0.000
Sr2 0.000 0.500 0.250
Sr3 0.500 0.000 0.750
Sr4 0.500 0.500 0.500
Ta1 0.000 0.000 0.500
Ta2 0.500 0.500 0.000
Pb1 0.000 0.500 0.750
Pb2 0.500 0.000 0.250

=====

Entry 12:
## SrTcPb2 (SCAN)

Data for a PBEsol-optimized structure of SrTcPb2.

Results
* SG: Imm2 (44)

Lattice parameters (Å, degrees): 3.384 4.382 14.359 90.00 90.00 90.00
Fractional positions:
Sr1 0.000 0.000 0.000
Sr2 0.500 0.500 0.500
Tc1 0.000 0.500 0.299
Tc2 0.500 0.000 0.799
Pb1 0.000 0.000 0.643
Pb2 0.000 0.500 0.817
Pb3 0.500 0.000 0.317
Pb4 0.500 0.500 0.143

=====

Entry 13:
## Sr4TcPb (SCAN)

Data for a PBEsol-optimized structure of Sr4TcPb.

Results
* SG: F-43m (216)

Lattice parameters (Å, degrees): 6.618 6.618 6.618 60.00 60.00 60.00
Fractional positions:
Sr1 0.125 0.125 0.125
Sr2 0.125 0.125 0.626
Sr3 0.125 0.626 0.125
Sr4 0.626 0.125 0.125
Tc1 0.750 0.750 0.750
Pb1 0.500 0.500 0.500

=====

Number 1: energy of formation from the pure elements -243 meV per atom, VASP energy -696.29 eV per cell, magnetization 0.000 μB/atom. Number 2: energy of formation from the pure elements 1139 meV per atom, VASP energy -208.55 eV per cell, magnetization 0.431 μB/atom. Number 3: energy of formation from the pure elements 384 meV per atom, VASP energy -292.04 eV per cell, magnetization 0.000 μB/atom. Number 4: energy of formation from the pure elements -254 meV per atom, VASP energy -430.87 eV per cell, magnetization 0.050 μB/atom. Number 5: energy of formation from the pure elements -158 meV per atom, VASP energy -629.95 eV per cell, magnetization 0.000 μB/atom. Number 6: energy of formation from the pure elements -251 meV per atom, VASP energy -1937.40 eV per cell, magnetization 0.000 μB/atom. Number 7: energy of formation from the pure elements -701 meV per atom, VASP energy -688.66 eV per cell, magnetization 0.024 μB/atom. Number 8: energy of formation from the pure elements -446 meV per atom, VASP energy -144.39 eV per cell, magnetization 0.000 μB/atom. Number 9: energy of formation from the pure elements -565 meV per atom, VASP energy -702.13 eV per cell, magnetization 0.000 μB/atom. Number 10: energy of formation from the pure elements 465 meV per atom, VASP energy -370.11 eV per cell, magnetization 0.000 μB/atom. Number 11: energy of formation from the pure elements 563 meV per atom, VASP energy -369.33 eV per cell, magnetization 0.623 μB/atom. Number 12: energy of formation from the pure elements 195 meV per atom, VASP energy -416.23 eV per cell, magnetization 0.000 μB/atom. Number 13: energy of formation from the pure elements 870 meV per atom, VASP energy -194.72 eV per cell, magnetization 0.444 μB/atom.